Density functional theory data (PBE+U) for a relaxed structure of CeScFe2O6.

Summary:
ρ: 5.32 Mg/m³
raw total energy: -7.811 eV per atom

Cell and atoms, written as CIF:
```
data_CeScFe2O6
_cell_length_a 5.4756
_cell_length_b 5.4756
_cell_length_c 14.1507
_cell_angle_alpha 90.00
_cell_angle_beta 90.00
_cell_angle_gamma 120.00
_space_group_name_H-M_alt 'R 3'
_space_group_IT_number 146
_space_group_name_Hall 'R 3'
loop_
_atom_site_label
_atom_site_type_symbol
_atom_site_fract_x
_atom_site_fract_y
_atom_site_fract_z
_atom_site_occupancy
Ce1 Ce 0.0000 0.0000 0.0000 1
Sc1 Sc 0.0000 0.0000 0.5055 1
Fe1 Fe 0.0000 0.0000 0.2142 1
Fe2 Fe 0.0000 0.0000 0.7172 1
O1 O 0.0255 0.6863 0.7803 1
O2 O 0.0623 0.3707 0.2799 1
```